The following is a DFT calculation (GGA-PBE) of a geometry-optimized KCdMo structure.

Cell lengths 2.959, 2.959, 8.764 Å; angles 90.00, 90.00, 120.00 degrees
Positions (direct):
K: 0.667 0.333 0.339
Mo: 0.333 0.667 0.688
Cd: 0.000 0.000 0.973

The calculation puts the energy above the most stable polymorph in this dataset at 0.12 eV/f.u. As for the density of states at the Fermi level: 3.8 states/eV/cell. For the total DFT energy (no corrections), the calculation gives -10.1 eV for the cell shown.